Material: Tb7Pr2Mg2
Method: DFT, GGA-PBE
State: optimized geometry

Geometry as POSCAR:
```
Tb7Pr2Mg2
1.0
8.0607 0.8806 1.2708
0.2835 6.5624 1.1678
0.2835 -1.2111 6.5546
Tb Pr Mg
7 2 2
Direct
0.1723 0.1127 0.5185
0.8277 0.4815 0.8873
0.8277 0.8873 0.4815
0.1723 0.5185 0.1127
0.0000 0.0000 0.0000
0.4700 0.6935 0.6935
0.5300 0.3065 0.3065
0.5000 0.1815 0.8185
0.5000 0.8185 0.1815
0.8510 0.4033 0.4033
0.1490 0.5967 0.5967
```

Values from the calculation:
energy relative to the elements	0.1406	eV per atom
magnetization	0.00	μB/cell
final energy	-3.96	eV per atom


Material: Tb7Pr12Mg
Method: DFT, GGA-PBE
State: optimized geometry

Geometry as POSCAR:
```
Tb7Pr12Mg
1.0
-3.2427 -8.2862 4.8074
-5.6584 1.5495 -8.2383
9.6580 -1.2485 -2.7296
Tb Pr Mg
7 12 1
Direct
0.5000 0.5000 0.0000
0.0000 0.5000 0.5000
0.5000 0.0000 0.5000
0.5000 0.5000 0.5000
0.0000 0.0000 0.5000
0.5000 0.0000 0.0000
0.0000 0.5000 0.0000
0.5045 0.7522 0.7523
0.9999 0.7522 0.2477
0.4955 0.2478 0.2477
0.0001 0.2478 0.7523
0.7523 0.0001 0.2478
0.7523 0.5045 0.7522
0.2477 0.9999 0.7522
0.2477 0.4955 0.2478
0.7522 0.7523 0.5045
0.2478 0.2477 0.4955
0.7522 0.2477 0.9999
0.2478 0.7523 0.0001
0.0000 0.0000 0.0000
```

Values from the calculation:
energy relative to the elements	0.6573	eV per atom
magnetization	0.00	μB/cell
final energy	-3.91	eV per atom
excess energy over the best structure of this formula in the dataset	527.5	meV/atom


Material: TbPrMg17
Method: DFT, GGA-PBE
State: optimized geometry

Geometry as POSCAR:
```
TbPrMg17
1.0
7.7402 0.0649 0.9858
0.8764 7.6907 0.9858
0.0722 0.0649 7.8024
Tb Pr Mg
1 1 17
Direct
0.3286 0.3286 0.3286
0.6697 0.6697 0.6697
0.3010 0.0017 0.6976
0.6976 0.3010 0.0017
0.0017 0.6976 0.3010
0.3010 0.6976 0.0017
0.0017 0.3010 0.6976
0.6976 0.0017 0.3010
0.3522 0.8427 0.3522
0.3522 0.3522 0.8427
0.8427 0.3522 0.3522
0.6459 0.1620 0.6459
0.6459 0.6459 0.1620
0.1620 0.6459 0.6459
0.9980 0.5018 0.9980
0.9980 0.9980 0.5018
0.5018 0.9980 0.9980
0.9020 0.9020 0.9020
0.1004 0.1004 0.1004
```

Values from the calculation:
energy relative to the elements	-0.0417	eV per atom
magnetization	0.00	μB/cell
final energy	-1.96	eV per atom


Material: Tb4Pr3Mg
Method: DFT, GGA-PBE
State: optimized geometry

Geometry as POSCAR:
```
Tb4Pr3Mg
1.0
3.4183 0.0000 -0.4313
-0.0982 5.9221 -0.7779
-0.0843 0.2363 13.0934
Pr Mg Tb
3 1 4
Direct
0.0000 0.5000 0.0000
0.1493 0.7166 0.2986
0.8507 0.2834 0.7014
0.5000 0.0000 0.0000
0.7180 0.2373 0.4359
0.2820 0.7627 0.5641
0.1016 0.1906 0.2033
0.8984 0.8094 0.7967
```

Values from the calculation:
energy relative to the elements	0.1732	eV per atom
magnetization	0.00	μB/cell
final energy	-4.13	eV per atom
excess energy over the best structure of this formula in the dataset	160.4	meV/atom


Material: TbPr3Mg3
Method: DFT, GGA-PBE
State: optimized geometry

Geometry as POSCAR:
```
TbPr3Mg3
1.0
7.8984 -0.2138 -0.0009
-0.1958 7.8988 -0.0009
0.0010 0.0010 7.1373
Tb Pr Mg
2 6 6
Direct
0.3152 0.3152 0.0000
0.6848 0.6848 0.0000
0.0000 0.0000 0.7534
0.5000 0.0000 0.2549
0.0000 0.5000 0.2549
0.5000 0.0000 0.7451
0.0000 0.5000 0.7451
0.0000 0.0000 0.2466
0.2785 0.2785 0.5000
0.3263 0.6737 0.5000
0.6737 0.3263 0.5000
0.2571 0.7429 0.0000
0.7429 0.2571 0.0000
0.7215 0.7215 0.5000
```

Values from the calculation:
energy relative to the elements	0.0637	eV per atom
magnetization	0.00	μB/cell
final energy	-3.33	eV per atom
excess energy over the best structure of this formula in the dataset	0.0	meV/atom


Material: Tb4Pr2Mg
Method: DFT, GGA-PBE
State: optimized geometry

Geometry as POSCAR:
```
Tb4Pr2Mg
1.0
-6.0176 -3.5851 4.3321
5.6138 -3.4648 4.9307
0.0685 6.2248 -2.5824
Tb Pr Mg
4 2 1
Direct
0.8746 0.2816 0.1562
0.2816 0.8746 0.1562
0.7184 0.7184 0.8438
0.1254 0.1254 0.8438
0.7500 0.2500 0.5000
0.2500 0.7500 0.5000
0.5000 0.5000 0.0000
```

Values from the calculation:
energy relative to the elements	0.3022	eV per atom
magnetization	0.92	μB/cell
final energy	-3.94	eV per atom
excess energy over the best structure of this formula in the dataset	155.7	meV/atom


Material: Tb3PrMg8
Method: DFT, GGA-PBE
State: optimized geometry

Geometry as POSCAR:
```
Tb3PrMg8
1.0
-1.4084 1.6629 5.6984
-1.1813 -5.6752 -1.9017
8.9147 -2.8751 3.0423
Tb Pr Mg
3 1 8
Direct
0.6667 0.3333 0.4319
0.6667 0.3333 0.0629
0.0000 0.0000 0.9394
0.0000 0.0000 0.5654
0.3333 0.6667 0.5000
0.3333 0.6667 0.0000
0.5043 0.0086 0.7517
0.5043 0.4957 0.7517
0.9914 0.4957 0.7517
0.1632 0.3263 0.2484
0.1632 0.8368 0.2484
0.6737 0.8368 0.2484
```

Values from the calculation:
energy relative to the elements	-0.0784	eV per atom
magnetization	0.00	μB/cell
final energy	-2.70	eV per atom


Material: TbPrMg4
Method: DFT, GGA-PBE
State: optimized geometry

Geometry as POSCAR:
```
TbPrMg4
1.0
6.0989 0.0000 0.0000
3.0495 5.2818 0.0000
3.0495 1.7606 4.9797
Pr Mg Tb
1 4 1
Direct
0.2500 0.2500 0.2500
0.6252 0.6252 0.1245
0.6252 0.1245 0.6252
0.6252 0.6252 0.6252
0.1245 0.6252 0.6252
0.0000 0.0000 0.0000
```

Values from the calculation:
energy relative to the elements	-0.0927	eV per atom
magnetization	0.00	μB/cell
final energy	-2.72	eV per atom
excess energy over the best structure of this formula in the dataset	0.0	meV/atom